{
  "formula": "AgRhS2",
  "functional": "PBE",
  "state": "optimized geometry",
  "formation_energy_uncorrected_ev_per_atom": -0.16,
  "magnetic_moment_mub_per_atom": 0.0000,
  "final_energy_ev_per_cell": -76.38,
  "lattice": [[7.4971, 0.0000, 0.0000], [0.0000, 3.5244, 0.0000], [0.0000, 0.0000, 11.8184]],
  "species": ["Ag", "Ag", "Ag", "Ag", "Rh", "Rh", "Rh", "Rh", "S", "S", "S", "S", "S", "S", "S", "S"],
  "fractional_positions": [[0.0344, 0.2500, 0.1023], [0.4656, 0.7500, 0.6023], [0.5344, 0.2500, 0.3977], [0.9656, 0.7500, 0.8977], [0.0454, 0.7500, 0.3790], [0.4546, 0.2500, 0.8790], [0.5454, 0.7500, 0.1210], [0.9546, 0.2500, 0.6210], [0.1443, 0.7500, 0.5644], [0.2322, 0.2500, 0.3239], [0.2678, 0.7500, 0.8239], [0.3557, 0.2500, 0.0644], [0.6443, 0.7500, 0.9356], [0.7322, 0.2500, 0.1761], [0.7678, 0.7500, 0.6761], [0.8557, 0.2500, 0.4356]]
}

{
  "formula": "Ag2RhS",
  "functional": "PBE",
  "state": "optimized geometry",
  "formation_energy_uncorrected_ev_per_atom": 0.31,
  "magnetic_moment_mub_per_atom": 0.0000,
  "final_energy_ev_per_cell": -31.92,
  "lattice": [[-4.1904, 4.1904, 2.2233], [4.1904, -4.1904, 2.2233], [4.1904, 4.1904, -2.2233]],
  "species": ["Ag", "Ag", "Ag", "Ag", "Rh", "Rh", "S", "S"],
  "fractional_positions": [[0.0311, 0.1250, 0.4061], [0.3750, 0.9689, 0.0939], [0.7189, 0.6250, 0.5939], [0.8750, 0.2811, 0.9061], [0.2500, 0.7500, 0.5000], [0.5000, 0.5000, 0.0000], [0.0000, 0.0000, 0.0000], [0.7500, 0.2500, 0.5000]]
}

{
  "formula": "AgRhS4",
  "functional": "PBE",
  "state": "optimized geometry",
  "formation_energy_uncorrected_ev_per_atom": -0.12,
  "magnetic_moment_mub_per_atom": 0.0000,
  "final_energy_ev_per_cell": -54.89,
  "lattice": [[6.1526, 0.0000, 0.0000], [-1.3126, 6.0110, 0.0000], [-2.1326, -2.6479, 6.2114]],
  "species": ["Ag", "Ag", "Rh", "Rh", "S", "S", "S", "S", "S", "S", "S", "S"],
  "fractional_positions": [[0.1270, 0.3732, 0.2508], [0.8730, 0.6268, 0.7492], [0.4057, 0.0943, 0.7500], [0.5943, 0.9057, 0.2500], [0.0534, 0.0768, 0.8167], [0.2286, 0.8510, 0.3714], [0.3510, 0.7287, 0.8714], [0.4234, 0.4466, 0.6835], [0.5766, 0.5534, 0.3165], [0.6490, 0.2713, 0.1286], [0.7714, 0.1490, 0.6286], [0.9466, 0.9232, 0.1833]]
}

{
  "formula": "AgRhS2",
  "functional": "PBE",
  "state": "optimized geometry",
  "formation_energy_uncorrected_ev_per_atom": -0.34,
  "magnetic_moment_mub_per_atom": 0.0000,
  "final_energy_ev_per_cell": -39.61,
  "lattice": [[3.5701, 0.0000, 0.0000], [-1.7850, 3.0918, 0.0000], [0.0000, 0.0000, 14.3361]],
  "species": ["Ag", "Ag", "Rh", "Rh", "S", "S", "S", "S"],
  "fractional_positions": [[0.3333, 0.6667, 0.2500], [0.6667, 0.3333, 0.7500], [0.0000, 0.0000, 0.0000], [0.0000, 0.0000, 0.5000], [0.3333, 0.6667, 0.0830], [0.3333, 0.6667, 0.4170], [0.6667, 0.3333, 0.5830], [0.6667, 0.3333, 0.9170]]
}

{
  "formula": "AgRhS2",
  "functional": "PBE",
  "state": "optimized geometry",
  "formation_energy_uncorrected_ev_per_atom": 0.05,
  "magnetic_moment_mub_per_atom": 0.0000,
  "final_energy_ev_per_cell": -36.54,
  "lattice": [[-3.6833, 3.6833, 2.7402], [3.6833, -3.6833, 2.7402], [3.6833, 3.6833, -2.7402]],
  "species": ["Ag", "Ag", "Rh", "Rh", "S", "S", "S", "S"],
  "fractional_positions": [[0.2500, 0.2500, 0.0000], [0.7500, 0.7500, 0.0000], [0.2500, 0.7500, 0.5000], [0.7500, 0.2500, 0.5000], [0.1764, 0.6764, 0.8527], [0.3236, 0.1764, 0.5000], [0.6764, 0.8236, 0.5000], [0.8236, 0.3236, 0.1473]]
}

{
  "formula": "AgRhS2",
  "functional": "PBE",
  "state": "optimized geometry",
  "formation_energy_uncorrected_ev_per_atom": 0.01,
  "magnetic_moment_mub_per_atom": 0.0000,
  "final_energy_ev_per_cell": -18.43,
  "lattice": [[3.9451, 0.0000, 0.0000], [-1.9726, 3.4166, 0.0000], [0.0000, 0.0000, 5.6676]],
  "species": ["Ag", "Rh", "S", "S"],
  "fractional_positions": [[0.0000, 0.0000, 0.0000], [0.3333, 0.6667, 0.3976], [0.3333, 0.6667, 0.7906], [0.6667, 0.3333, 0.3173]]
}